Entry 1:
# SbTeW (SCAN, PBEsol geometry)
data_SbTeW
_chemical_formula_sum 'Sb1 Te1 W1'
_cell_length_a 4.667
_cell_length_b 4.667
_cell_length_c 4.667
_cell_angle_alpha 60.00
_cell_angle_beta 60.00
_cell_angle_gamma 60.00
_symmetry_space_group_name_H-M 'P 1'
_symmetry_Int_Tables_number 1
_symmetry_space_group_name_Hall 'P 1'
loop_
_atom_site_label
_atom_site_type_symbol
_atom_site_fract_x
_atom_site_fract_y
_atom_site_fract_z
Sb1 Sb 0.000 0.000 0.000
Te1 Te 0.500 0.500 0.500
W1 W 0.250 0.250 0.250
# Energy relative to the elements, uncorrected = 0.60 eV/atom
# Spin magnetization = 1.8 μB/f.u.
# DOS at the Fermi energy = 1.31 states/eV per cell

Entry 2:
# CaMgMn (SCAN, PBEsol geometry)
data_CaMgMn
_chemical_formula_sum 'Ca1 Mg1 Mn1'
_cell_length_a 4.921
_cell_length_b 4.921
_cell_length_c 4.921
_cell_angle_alpha 60.00
_cell_angle_beta 60.00
_cell_angle_gamma 60.00
_symmetry_space_group_name_H-M 'P 1'
_symmetry_Int_Tables_number 1
_symmetry_space_group_name_Hall 'P 1'
loop_
_atom_site_label
_atom_site_type_symbol
_atom_site_fract_x
_atom_site_fract_y
_atom_site_fract_z
Ca1 Ca 0.500 0.500 0.500
Mg1 Mg 0.250 0.250 0.250
Mn1 Mn 0.000 0.000 0.000
# Spin magnetization = 4.2 μB/f.u.
# DOS at the Fermi energy = 3.52 states/eV per cell
# ΔE_f = 0.449 eV/atom

Entry 3:
# Y3BBr3 (SCAN, PBEsol geometry)
data_Y3BBr3
_chemical_formula_sum 'Y12 B4 Br12'
_cell_length_a 9.572
_cell_length_b 9.572
_cell_length_c 9.572
_cell_angle_alpha 109.47
_cell_angle_beta 109.47
_cell_angle_gamma 109.47
_symmetry_space_group_name_H-M 'P 1'
_symmetry_Int_Tables_number 1
_symmetry_space_group_name_Hall 'P 1'
loop_
_atom_site_label
_atom_site_type_symbol
_atom_site_fract_x
_atom_site_fract_y
_atom_site_fract_z
Y1 Y 0.537 0.768 0.018
Y2 Y 0.250 0.518 0.482
Y3 Y 0.250 0.732 0.268
Y4 Y 0.768 0.250 0.232
Y5 Y 0.732 0.963 0.482
Y6 Y 0.963 0.982 0.232
Y7 Y 0.982 0.250 0.018
Y8 Y 0.518 0.537 0.268
Y9 Y 0.518 0.982 0.750
Y10 Y 0.982 0.732 0.463
Y11 Y 0.732 0.768 0.750
Y12 Y 0.768 0.518 0.037
B1 B 0.750 0.000 0.000
B2 B 0.500 0.750 0.500
B3 B 0.000 0.500 0.250
B4 B 0.750 0.750 0.250
Br1 Br 0.750 0.491 0.509
Br2 Br 0.481 0.241 0.991
Br3 Br 0.019 0.009 0.759
Br4 Br 0.259 0.019 0.509
Br5 Br 0.009 0.750 0.991
Br6 Br 0.750 0.259 0.741
Br7 Br 0.241 0.750 0.759
Br8 Br 0.491 0.481 0.741
Br9 Br 0.241 0.491 0.981
Br10 Br 0.259 0.241 0.250
Br11 Br 0.009 0.259 0.519
Br12 Br 0.491 0.009 0.250
# Energy relative to the elements, uncorrected = -1.48 eV/atom
# Spin magnetization = 0.0 μB/f.u.
# DOS at the Fermi energy = 8.08 states/eV per cell

| no. | final energy (eV/f.u.) |
| --- | --- |
| 1 | -142.4 |
| 2 | -31.5 |
| 3 | -159.7 |